A plane-wave DFT calculation with SCAN was carried out for a PBEsol-optimized structure of NaHg3.

ρ = 11.40 g/cm³
total magnetization = 0.00 Bohr magnetons per cell
N(E_F) = 0.330 states/eV/atom
energy relative to the elements = -0.234 eV per atom

a b c (Å): 4.498 4.498 4.498
angles (deg): 90.00 90.00 90.00
Space group Pm-3m (No. 221)
Symmetry-distinct sites (fractional):
Na  0.000  0.000  0.000 x1
Hg  0.000  0.500  0.500 x3

---

A plane-wave DFT calculation with SCAN was carried out for a PBEsol-optimized structure of NaHg3.

ρ = 11.40 g/cm³
total magnetization = 0.00 Bohr magnetons per cell
N(E_F) = 0.257 states/eV/atom
energy relative to the elements = -0.245 eV per atom

a b c (Å): 7.141 7.141 7.141
angles (deg): 90.00 90.00 90.00
Space group Fm-3m (No. 225)
Symmetry-distinct sites (fractional):
Na  0.000  0.000  0.000 x4
Hg  0.000  0.000  0.500 x4
Hg  0.250  0.250  0.250 x8

---

A plane-wave DFT calculation with SCAN was carried out for a PBEsol-optimized structure of NaNi2Hg2.

ρ = 9.53 g/cm³
total magnetization = 2.18 Bohr magnetons per cell
N(E_F) = 0.365 states/eV/atom
energy relative to the elements = 0.232 eV per atom

a b c (Å): 4.707 4.707 8.520
angles (deg): 90.00 90.00 90.00
Space group I4/mmm (No. 139)
Symmetry-distinct sites (fractional):
Na  0.000  0.000  0.000 x2
Ni  0.000  0.000  0.370 x4
Hg  0.000  0.500  0.250 x4

---

A plane-wave DFT calculation with SCAN was carried out for a PBEsol-optimized structure of Na3HgO.

E_form (uncorrected) = -0.85 eV per atom
ρ = 4.71 g/cm³
total magnetization = 0.51 Bohr magnetons per cell
N(E_F) = 0.433 states/eV/atom

a b c (Å): 4.652 4.652 4.652
angles (deg): 90.00 90.00 90.00
Space group Pm-3m (No. 221)
Symmetry-distinct sites (fractional):
Na  0.000  0.000  0.500 x3
Hg  0.500  0.500  0.500 x1
O  0.000  0.000  0.000 x1